[1]
{
  "formula": "AlTlIn2",
  "functional": "GGA-PBE",
  "state": "optimized geometry",
  "vol_a3_per_atom": 25.85,
  "spacegroup": "Cmm2 (35)",
  "energy_ev_per_cell": -11.02,
  "e_form_ev_per_atom": 0.142,
  "polymorph_energy_kj_per_mol_fu": 18.8,
  "lattice": [[-3.0411, -0.1716, 0.9761], [0.9933, -2.4072, 1.8572], [2.0183, 6.5767, 7.4449]],
  "species": ["Tl", "Al", "In", "In"],
  "frac_coords": [[0.0000, 0.0000, 0.5225], [0.5000, 0.5000, 0.7591], [0.0000, 0.0000, 0.9791], [0.5000, 0.5000, 0.2393]]
}

[2]
{
  "formula": "BaCa4Au",
  "functional": "GGA-PBE",
  "state": "optimized geometry",
  "vol_a3_per_atom": 41.89,
  "spacegroup": "F-43m (216)",
  "energy_ev_per_cell": -11.98,
  "e_form_ev_per_atom": 0.204,
  "lattice": [[0.0000, 5.0088, 5.0088], [5.0088, 0.0000, 5.0088], [5.0088, 5.0088, 0.0000]],
  "species": ["Ba", "Ca", "Ca", "Ca", "Ca", "Au"],
  "frac_coords": [[0.0000, 0.0000, 0.0000], [0.8744, 0.3752, 0.3752], [0.3752, 0.3752, 0.8744], [0.3752, 0.8744, 0.3752], [0.3752, 0.3752, 0.3752], [0.7500, 0.7500, 0.7500]]
}

[3]
{
  "formula": "AlNiMo2",
  "functional": "GGA-PBE",
  "state": "optimized geometry",
  "vol_a3_per_atom": 14.37,
  "spacegroup": "C2/m (12)",
  "energy_ev_per_cell": -31.50,
  "e_form_ev_per_atom": -0.078,
  "lattice": [[-2.1275, -1.5395, 4.1867], [-2.8516, -0.5717, -4.5590], [-0.0716, -2.5813, -0.7199]],
  "species": ["Ni", "Mo", "Mo", "Al"],
  "frac_coords": [[0.5000, 0.5000, 0.0000], [0.0000, 0.0000, 0.0000], [0.0000, 0.5000, 0.5000], [0.5000, 0.0000, 0.5000]]
}

[4]
{
  "formula": "Tb2Co2Cu",
  "functional": "GGA-PBE",
  "state": "optimized geometry",
  "vol_a3_per_atom": 18.06,
  "spacegroup": "P4/mbm (127)",
  "energy_ev_per_cell": -112.81,
  "e_form_ev_per_atom": -0.127,
  "lattice": [[6.7625, 0.0000, 0.0000], [0.0000, 6.7625, 0.0000], [0.0000, 0.0000, 7.8978]],
  "species": ["Tb", "Tb", "Tb", "Tb", "Tb", "Tb", "Tb", "Tb", "Co", "Co", "Co", "Co", "Co", "Co", "Co", "Co", "Cu", "Cu", "Cu", "Cu"],
  "frac_coords": [[0.6807, 0.8193, 0.5000], [0.3193, 0.1807, 0.5000], [0.8193, 0.3193, 0.0000], [0.1807, 0.6807, 0.0000], [0.8193, 0.3193, 0.5000], [0.1807, 0.6807, 0.5000], [0.3193, 0.1807, 0.0000], [0.6807, 0.8193, 0.0000], [0.3802, 0.8802, 0.2500], [0.6198, 0.1198, 0.2500], [0.1198, 0.3802, 0.7500], [0.8802, 0.6198, 0.7500], [0.8802, 0.6198, 0.2500], [0.1198, 0.3802, 0.2500], [0.3802, 0.8802, 0.7500], [0.6198, 0.1198, 0.7500], [0.5000, 0.5000, 0.2500], [0.0000, 0.0000, 0.7500], [0.5000, 0.5000, 0.7500], [0.0000, 0.0000, 0.2500]]
}

[5]
{
  "formula": "MnOsRh2",
  "functional": "GGA-PBE",
  "state": "optimized geometry",
  "vol_a3_per_atom": 13.89,
  "spacegroup": "C2/m (12)",
  "energy_ev_per_cell": -35.10,
  "e_form_ev_per_atom": 0.000,
  "polymorph_energy_kj_per_mol_fu": 8.7,
  "lattice": [[4.6869, -0.0094, 0.0043], [3.9026, 2.5956, 0.0043], [0.7846, 0.2362, 4.5532]],
  "species": ["Mn", "Os", "Rh", "Rh"],
  "frac_coords": [[0.7500, 0.7500, 0.7500], [0.2500, 0.2500, 0.2500], [0.9999, 0.9999, 0.0018], [0.5001, 0.5001, 0.4982]]
}

[6]
{
  "formula": "CrRu2Cl",
  "functional": "GGA-PBE",
  "state": "optimized geometry",
  "vol_a3_per_atom": 15.08,
  "raw_formation_energy_kj_per_mol_fu": 225,
  "spacegroup": "Cmm2 (35)",
  "energy_ev_per_cell": -27.69,
  "polymorph_energy_kj_per_mol_fu": 110.6,
  "lattice": [[2.8352, 0.0225, 0.0000], [-1.4434, 2.4404, 0.0000], [0.0000, 0.0000, 8.6765]],
  "species": ["Ru", "Ru", "Cl", "Cr"],
  "frac_coords": [[0.0000, 0.0000, 0.9877], [0.5000, 0.5000, 0.2385], [0.0000, 0.0000, 0.5284], [0.5000, 0.5000, 0.7453]]
}

[7]
{
  "formula": "LiTc2Au",
  "functional": "GGA-PBE",
  "state": "optimized geometry",
  "vol_a3_per_atom": 14.88,
  "spacegroup": "Fm-3m (225)",
  "energy_ev_per_cell": -23.28,
  "e_form_ev_per_atom": 0.661,
  "polymorph_energy_kj_per_mol_fu": 239.9,
  "lattice": [[3.7825, 1.4885, 1.6392], [0.0605, 3.6827, 2.3757], [0.7431, -0.1879, 4.3154]],
  "species": ["Au", "Tc", "Tc", "Li"],
  "frac_coords": [[0.5000, 0.5000, 0.5000], [0.2500, 0.2500, 0.2500], [0.7500, 0.7500, 0.7500], [0.0000, 0.0000, 0.0000]]
}

[8]
{
  "formula": "Ba2InS3",
  "functional": "GGA-PBE",
  "state": "optimized geometry",
  "vol_a3_per_atom": 30.24,
  "raw_formation_energy_kj_per_mol_fu": -839,
  "spacegroup": "Immm (71)",
  "energy_ev_per_cell": -27.66,
  "polymorph_energy_kj_per_mol_fu": 0.0,
  "lattice": [[-2.3857, -3.3955, -0.9398], [4.0017, -2.1930, -2.2355], [1.3385, -0.7358, 8.8927]],
  "species": ["Ba", "Ba", "In", "S", "S", "S"],
  "frac_coords": [[0.6491, 0.6491, 0.2982], [0.3509, 0.3509, 0.7018], [0.0000, 0.0000, 0.0000], [0.0000, 0.5000, 0.0000], [0.8369, 0.8369, 0.6738], [0.1631, 0.1631, 0.3262]]
}

[9]
{
  "formula": "PrGa12Cu6",
  "functional": "GGA-PBE",
  "state": "optimized geometry",
  "vol_a3_per_atom": 17.02,
  "spacegroup": "R-3m (166)",
  "energy_ev_per_cell": -67.52,
  "e_form_ev_per_atom": -0.097,
  "lattice": [[-5.7064, 3.0209, -3.0608], [-2.7514, -4.8284, 4.4916], [2.6210, 5.0949, 4.2697]],
  "species": ["Pr", "Ga", "Ga", "Ga", "Ga", "Ga", "Ga", "Ga", "Ga", "Ga", "Ga", "Ga", "Ga", "Cu", "Cu", "Cu", "Cu", "Cu", "Cu"],
  "frac_coords": [[0.0000, 0.0000, 0.0000], [0.8878, 0.1122, 0.5000], [0.8530, 0.5997, 0.5997], [0.5997, 0.5997, 0.8530], [0.4003, 0.1470, 0.4003], [0.4003, 0.4003, 0.1470], [0.1470, 0.4003, 0.4003], [0.1122, 0.5000, 0.8878], [0.5000, 0.8878, 0.1122], [0.1122, 0.8878, 0.5000], [0.8878, 0.5000, 0.1122], [0.5000, 0.1122, 0.8878], [0.5997, 0.8530, 0.5997], [0.7158, 0.2855, 0.2855], [0.2855, 0.2855, 0.7158], [0.2855, 0.7158, 0.2855], [0.7145, 0.7145, 0.2842], [0.2842, 0.7145, 0.7145], [0.7145, 0.2842, 0.7145]]
}

[10]
{
  "formula": "NaPu2Sc3Se6",
  "functional": "GGA-PBE",
  "state": "optimized geometry",
  "vol_a3_per_atom": 22.83,
  "raw_formation_energy_kj_per_mol_fu": -1815,
  "spacegroup": "C2/m (12)",
  "energy_ev_per_cell": -88.69,
  "lattice": [[3.9732, 0.0000, 0.0000], [0.0000, 8.0994, 0.2045], [-1.9866, -2.4258, 8.4532]],
  "species": ["Na", "Pu", "Pu", "Sc", "Sc", "Sc", "Se", "Se", "Se", "Se", "Se", "Se"],
  "frac_coords": [[0.5000, 0.0000, 0.0000], [0.8344, 0.6691, 0.6688], [0.1656, 0.3309, 0.3312], [0.5000, 0.5000, 0.0000], [0.8328, 0.1712, 0.6657], [0.1672, 0.8288, 0.3343], [0.3296, 0.9316, 0.6591], [0.6627, 0.5912, 0.3254], [0.6704, 0.0684, 0.3409], [0.9943, 0.2614, 0.9886], [0.0057, 0.7386, 0.0114], [0.3373, 0.4088, 0.6746]]
}

[11]
{
  "formula": "ZrZn3In",
  "functional": "GGA-PBE",
  "state": "optimized geometry",
  "vol_a3_per_atom": 30.30,
  "spacegroup": "Pm-3m (221)",
  "energy_ev_per_cell": -10.95,
  "e_form_ev_per_atom": 0.831,
  "polymorph_energy_kj_per_mol_fu": 23.9,
  "lattice": [[-5.1811, 1.0730, -0.6491], [-1.1318, -2.8124, 4.3847], [0.5402, 4.3995, 2.9613]],
  "species": ["Zn", "Zn", "Zn", "Zr", "In"],
  "frac_coords": [[0.0000, 0.5000, 0.0000], [0.0000, 0.0000, 0.5000], [0.5000, 0.0000, 0.0000], [0.0000, 0.0000, 0.0000], [0.5000, 0.5000, 0.5000]]
}

[12]
{
  "formula": "Ac8Os3I4N",
  "functional": "GGA-PBE",
  "state": "optimized geometry",
  "vol_a3_per_atom": 34.38,
  "raw_formation_energy_kj_per_mol_fu": -1098,
  "spacegroup": "C2/m (12)",
  "energy_ev_per_cell": -92.46,
  "lattice": [[8.6034, 0.0000, 0.0000], [0.0000, 9.8776, 0.9029], [-4.3017, -4.2893, 6.0805]],
  "species": ["Ac", "Ac", "Ac", "Ac", "Ac", "Ac", "Ac", "Ac", "Os", "Os", "Os", "I", "I", "I", "I", "N"],
  "frac_coords": [[0.2189, 0.6756, 0.9568], [0.2182, 0.6754, 0.4364], [0.2692, 0.3081, 0.5385], [0.7379, 0.6756, 0.9568], [0.2621, 0.3244, 0.0432], [0.7308, 0.6919, 0.4615], [0.7818, 0.3246, 0.5636], [0.7811, 0.3244, 0.0432], [0.5000, 0.5000, 0.0000], [0.5000, 0.5000, 0.5000], [0.0000, 0.5000, 0.5000], [0.5000, 0.0000, 0.0000], [0.5000, 0.0000, 0.5000], [0.0000, 0.0000, 0.0000], [0.0000, 0.0000, 0.5000], [0.0000, 0.5000, 0.0000]]
}